A:
# PBE SrScH2, relaxed
# total moment = 0.0 μB per cell
# crystal system = tetragonal
# calculated volume = 17.9 Å³ per atom
data_SrScH2
_cell_length_a 5.366
_cell_length_b 5.366
_cell_length_c 9.932
_cell_angle_alpha 90.00
_cell_angle_beta 90.00
_cell_angle_gamma 90.00
_space_group_name_H-M_alt 'I -4 2 d'
_space_group_IT_number 122
_space_group_name_Hall 'I -4 2bw'
loop_
_atom_site_label
_atom_site_fract_x
_atom_site_fract_y
_atom_site_fract_z
_atom_site_occupancy
Sr1 0.000 0.000 0.000 1
Sc1 0.000 0.000 0.500 1
H1 0.169 0.250 0.625 1


B:
# PBE SrScH2, relaxed
# total moment = 8.6 μB per cell
# crystal system = cubic
# calculated volume = 16.5 Å³ per atom
data_SrScH2
_cell_length_a 6.410
_cell_length_b 6.410
_cell_length_c 6.410
_cell_angle_alpha 90.00
_cell_angle_beta 90.00
_cell_angle_gamma 90.00
_space_group_name_H-M_alt 'F m -3 m'
_space_group_IT_number 225
_space_group_name_Hall '-F 4 2 3'
loop_
_atom_site_label
_atom_site_fract_x
_atom_site_fract_y
_atom_site_fract_z
_atom_site_occupancy
Sr1 0.000 0.000 0.000 1
Sc1 0.000 0.000 0.500 1
H1 0.250 0.250 0.250 1


Most stable structure, least stable structure: A, B.


A:
# PBE Sc2TaH2, relaxed
# total moment = 0.0 μB per cell
# crystal system = tetragonal
# calculated volume = 14.1 Å³ per atom
data_Sc2TaH2
_cell_length_a 6.756
_cell_length_b 6.756
_cell_length_c 3.090
_cell_angle_alpha 90.00
_cell_angle_beta 90.00
_cell_angle_gamma 90.00
_space_group_name_H-M_alt 'P 4/m b m'
_space_group_IT_number 127
_space_group_name_Hall '-P 4 2ab'
loop_
_atom_site_label
_atom_site_fract_x
_atom_site_fract_y
_atom_site_fract_z
_atom_site_occupancy
Sc1 0.181 0.319 0.000 1
Ta1 0.000 0.000 0.500 1
H1 0.158 0.658 0.500 1


B:
# PBE Sc2TaH2, relaxed
# total moment = 0.0 μB per cell
# crystal system = tetragonal
# calculated volume = 15.5 Å³ per atom
data_Sc2TaH2
_cell_length_a 4.429
_cell_length_b 4.429
_cell_length_c 7.908
_cell_angle_alpha 90.00
_cell_angle_beta 90.00
_cell_angle_gamma 90.00
_space_group_name_H-M_alt 'I 4/m m m'
_space_group_IT_number 139
_space_group_name_Hall '-I 4 2'
loop_
_atom_site_label
_atom_site_fract_x
_atom_site_fract_y
_atom_site_fract_z
_atom_site_occupancy
Sc1 0.000 0.500 0.250 1
Ta1 0.000 0.000 0.000 1
H1 0.000 0.000 0.243 1


Most stable structure, least stable structure: B, A.